PBE Ag4As5, optimized geometry; DOS(E_F) = 5.51 states/eV/cell; calculated density = 7.730 Mg/m³; DFT formation energy = 0.334 eV per atom; uncorrected energy = -63.30 eV/cell
1.0
-0.5968 7.3280 3.9148
-0.9868 -7.0898 4.2594
5.6562 -0.1267 1.0995
As Ag
10 8
Cartesian
0.7558 -4.7613 3.1163
0.8869 0.0476 2.9960
1.0159 4.8569 2.8865
3.9137 -2.4552 2.2425
3.1858 0.0638 6.2776
4.0435 2.3444 2.1278
-0.7268 2.5221 4.0297
1.9713 -2.3472 4.6942
-0.8568 -2.2839 4.1445
2.1013 2.4587 4.5794
0.0000 0.0000 0.0000
2.8281 -0.0634 0.5497
1.0905 -2.3560 1.6713
0.3496 0.1284 5.7692
1.2184 2.3708 1.5583
3.5789 -4.8605 3.6876
3.7230 -0.0170 3.5045
3.8410 4.8305 3.4560